# 1
# MgTa2Al

MgTa2Al after structural relaxation (GGA-PBE, Alexandria via LeMat-Bulk).

Geometry as extended XYZ:
```
4
Lattice="1.719 -2.322 0.000 1.719 2.322 0.000 0.000 0.000 9.204" Properties=species:S:1:pos:R:3 pbc="T T T"
Mg 0.000 0.000 0.000
Ta 0.000 0.000 4.507
Ta 1.719 0.000 6.749
Al 1.719 0.000 2.340
```

Properties
volume: 18.371 Å³/atom
symmetry: Cmm2 (35)
energy relative to the lowest polymorph listed for this composition: 0.00 eV/f.u.
magnetic moment: 0.0 μB/cell

=====

# 2
# MgTaAl

MgTaAl after structural relaxation (GGA-PBE, Alexandria via LeMat-Bulk).

Geometry as extended XYZ:
```
6
Lattice="0.000 3.932 5.684 2.633 0.000 5.684 2.633 3.932 0.000" Properties=species:S:1:pos:R:3 pbc="T T T"
Mg 2.633 1.391 5.684
Mg 2.633 6.472 5.684
Ta 1.317 1.966 2.842
Ta 3.950 5.898 8.527
Al 2.633 3.932 4.352
Al 2.633 3.932 7.017
```

Properties
volume: 19.619 Å³/atom
symmetry: Fmmm (69)
energy relative to the lowest polymorph listed for this composition: 0.90 eV/f.u.
magnetic moment: 0.0 μB/cell

=====

# 3
# Mg2TaAl

Mg2TaAl after structural relaxation (GGA-PBE, Alexandria via LeMat-Bulk).

Geometry as extended XYZ:
```
4
Lattice="-1.520 2.409 5.047 1.520 -2.409 5.047 1.520 2.409 -5.047" Properties=species:S:1:pos:R:3 pbc="T T T"
Mg 0.000 0.000 2.459
Mg 0.000 0.000 7.635
Ta 0.000 2.409 0.000
Al 1.520 0.000 0.000
```

Properties
volume: 18.487 Å³/atom
symmetry: Immm (71)
energy relative to the lowest polymorph listed for this composition: 0.24 eV/f.u.
magnetic moment: 0.0 μB/cell

=====

# 4
# MgTa2Al

MgTa2Al after structural relaxation (GGA-PBE, Alexandria via LeMat-Bulk).

Geometry as extended XYZ:
```
4
Lattice="3.519 0.000 0.000 0.000 3.519 0.000 0.000 0.000 5.790" Properties=species:S:1:pos:R:3 pbc="T T T"
Mg 0.000 0.000 0.000
Ta 1.760 1.760 1.564
Ta 1.760 1.760 4.225
Al 0.000 0.000 2.895
```

Properties
volume: 17.927 Å³/atom
symmetry: P4/mmm (123)
energy relative to the lowest polymorph listed for this composition: 0.97 eV/f.u.
magnetic moment: 0.0 μB/cell